[1]
# ScRePt

An optimized crystal structure of ScRePt (PBE, Alexandria via LeMat-Bulk). Values from VASP.

**Magnetic moment**: 0.000 μB/f.u.
**Energy**: -8.632 eV/atom
**Theoretical density**: 14.2 g/cm³
**ΔE_f**: -34.6 kJ/mol of atoms

Cell and atoms, written as Quantum ESPRESSO input:
```
&SYSTEM
  ibrav = 0, nat = 3, ntyp = 3
/
ATOMIC_SPECIES
Pt 195.08 Pt.upf
Re 186.21 Re.upf
Sc 44.96 Sc.upf
CELL_PARAMETERS angstrom
-4.8107 3.3620 2.9565
-6.2451 1.5291 1.3605
-0.5269 -1.5759 2.2810
ATOMIC_POSITIONS crystal
Pt 0.9911 0.9911 0.0089
Re 0.3416 0.3416 0.6584
Sc 0.6673 0.6673 0.3327
```



[2]
# Sc3RePt

An optimized crystal structure of Sc3RePt (PBE, Alexandria via LeMat-Bulk). Values from VASP.

**Magnetic moment**: 0.000 μB/f.u.
**Energy**: -7.232 eV/atom
**Theoretical density**: 7.2 g/cm³
**ΔE_f**: 25.5 kJ/mol of atoms

Cell and atoms, written as Quantum ESPRESSO input:
```
&SYSTEM
  ibrav = 0, nat = 5, ntyp = 3
/
ATOMIC_SPECIES
Sc 44.96 Sc.upf
Re 186.21 Re.upf
Pt 195.08 Pt.upf
CELL_PARAMETERS angstrom
4.9302 0.0000 0.0000
0.0000 4.9302 0.0000
0.0000 0.0000 4.9302
ATOMIC_POSITIONS crystal
Sc 0.5000 0.0000 0.0000
Sc 0.0000 0.5000 0.0000
Sc 0.0000 0.0000 0.5000
Re 0.0000 0.0000 0.0000
Pt 0.5000 0.5000 0.5000
```



[3]
# Sc3RePt

An optimized crystal structure of Sc3RePt (PBE, Alexandria via LeMat-Bulk). Values from VASP.

**Magnetic moment**: 1.129 μB/f.u.
**Energy**: -7.049 eV/atom
**Theoretical density**: 7.1 g/cm³
**ΔE_f**: 43.2 kJ/mol of atoms

Cell and atoms, written as Quantum ESPRESSO input:
```
&SYSTEM
  ibrav = 0, nat = 5, ntyp = 3
/
ATOMIC_SPECIES
Pt 195.08 Pt.upf
Sc 44.96 Sc.upf
Re 186.21 Re.upf
CELL_PARAMETERS angstrom
-1.0483 3.2718 -3.5392
0.9450 -3.4122 -3.4342
-4.7263 -1.4079 0.0984
ATOMIC_POSITIONS crystal
Pt 0.0000 0.0000 0.0000
Sc 0.0000 0.5000 0.0000
Sc 0.5000 0.0000 0.0000
Sc 0.0000 0.0000 0.5000
Re 0.5000 0.5000 0.5000
```



[4]
# ScRePt

An optimized crystal structure of ScRePt (PBE, Alexandria via LeMat-Bulk). Values from VASP.

**Magnetic moment**: 0.409 μB/f.u.
**Energy**: -8.430 eV/atom
**Theoretical density**: 14.2 g/cm³
**ΔE_f**: -15.1 kJ/mol of atoms

Cell and atoms, written as Quantum ESPRESSO input:
```
&SYSTEM
  ibrav = 0, nat = 3, ntyp = 3
/
ATOMIC_SPECIES
Re 186.21 Re.upf
Pt 195.08 Pt.upf
Sc 44.96 Sc.upf
CELL_PARAMETERS angstrom
5.1127 0.0161 -0.0037
2.8042 4.2751 0.0037
-3.5837 -2.8370 2.2909
ATOMIC_POSITIONS crystal
Re 0.6615 0.6615 0.0000
Pt 0.0045 0.0045 0.0000
Sc 0.3341 0.3341 0.0000
```



[5]
# Sc2RePt

An optimized crystal structure of Sc2RePt (PBE, Alexandria via LeMat-Bulk). Values from VASP.

**Magnetic moment**: 0.000 μB/f.u.
**Energy**: -8.119 eV/atom
**Theoretical density**: 10.9 g/cm³
**ΔE_f**: -31.9 kJ/mol of atoms

Cell and atoms, written as Quantum ESPRESSO input:
```
&SYSTEM
  ibrav = 0, nat = 4, ntyp = 3
/
ATOMIC_SPECIES
Sc 44.96 Sc.upf
Re 186.21 Re.upf
Pt 195.08 Pt.upf
CELL_PARAMETERS angstrom
2.8750 0.0000 0.0000
0.0000 4.4918 0.0000
0.0000 0.0000 5.5479
ATOMIC_POSITIONS crystal
Sc 0.0000 0.0000 0.9591
Sc 0.5000 0.5000 0.2894
Re 0.5000 0.5000 0.7881
Pt 0.0000 0.0000 0.4633
```



[6]
# ScRe2Pt

An optimized crystal structure of ScRe2Pt (PBE, Alexandria via LeMat-Bulk). Values from VASP.

**Magnetic moment**: 0.000 μB/f.u.
**Energy**: -9.464 eV/atom
**Theoretical density**: 15.8 g/cm³
**ΔE_f**: -14.2 kJ/mol of atoms

Cell and atoms, written as Quantum ESPRESSO input:
```
&SYSTEM
  ibrav = 0, nat = 4, ntyp = 3
/
ATOMIC_SPECIES
Re 186.21 Re.upf
Sc 44.96 Sc.upf
Pt 195.08 Pt.upf
CELL_PARAMETERS angstrom
5.0550 -0.0003 0.0009
4.2771 2.6943 0.0009
0.7928 0.2289 4.7162
ATOMIC_POSITIONS crystal
Re 0.0085 0.0085 0.9968
Re 0.4915 0.4915 0.5032
Sc 0.2500 0.2500 0.2500
Pt 0.7500 0.7500 0.7500
```



[7]
# ScRe2Pt

An optimized crystal structure of ScRe2Pt (PBE, Alexandria via LeMat-Bulk). Values from VASP.

**Magnetic moment**: 0.000 μB/f.u.
**Energy**: -9.142 eV/atom
**Theoretical density**: 15.7 g/cm³
**ΔE_f**: 16.9 kJ/mol of atoms

Cell and atoms, written as Quantum ESPRESSO input:
```
&SYSTEM
  ibrav = 0, nat = 4, ntyp = 3
/
ATOMIC_SPECIES
Pt 195.08 Pt.upf
Re 186.21 Re.upf
Sc 44.96 Sc.upf
CELL_PARAMETERS angstrom
-3.3085 0.7484 8.8543
-5.7782 0.4205 7.5059
-4.2653 -1.8517 8.2633
ATOMIC_POSITIONS crystal
Pt 0.7500 0.7500 0.7500
Re 0.4972 0.4972 0.4972
Re 0.0028 0.0028 0.0028
Sc 0.2500 0.2500 0.2500
```



[8]
# Sc2RePt

An optimized crystal structure of Sc2RePt (PBE, Alexandria via LeMat-Bulk). Values from VASP.

**Magnetic moment**: 0.000 μB/f.u.
**Energy**: -8.229 eV/atom
**Theoretical density**: 11.1 g/cm³
**ΔE_f**: -42.5 kJ/mol of atoms

Cell and atoms, written as Quantum ESPRESSO input:
```
&SYSTEM
  ibrav = 0, nat = 4, ntyp = 3
/
ATOMIC_SPECIES
Sc 44.96 Sc.upf
Pt 195.08 Pt.upf
Re 186.21 Re.upf
CELL_PARAMETERS angstrom
-1.8280 2.6663 4.3938
-2.1263 -2.8819 4.1145
4.4561 0.5938 -3.0897
ATOMIC_POSITIONS crystal
Sc 0.7416 0.2416 0.5000
Sc 0.0100 0.0100 0.0000
Pt 0.4922 0.4922 0.0000
Re 0.2562 0.7562 0.5000
```



[9]
# Sc2RePt

An optimized crystal structure of Sc2RePt (PBE, Alexandria via LeMat-Bulk). Values from VASP.

**Magnetic moment**: 0.000 μB/f.u.
**Energy**: -7.964 eV/atom
**Theoretical density**: 11.3 g/cm³
**ΔE_f**: -17.0 kJ/mol of atoms

Cell and atoms, written as Quantum ESPRESSO input:
```
&SYSTEM
  ibrav = 0, nat = 4, ntyp = 3
/
ATOMIC_SPECIES
Re 186.21 Re.upf
Sc 44.96 Sc.upf
Pt 195.08 Pt.upf
CELL_PARAMETERS angstrom
-2.7910 -3.0418 -2.0427
1.0494 -1.6494 -4.1705
1.3264 -4.3852 -0.4753
ATOMIC_POSITIONS crystal
Re 0.7500 0.7500 0.7500
Sc 0.2500 0.2500 0.2500
Sc 0.0000 0.0000 0.0000
Pt 0.5000 0.5000 0.5000
```



[10]
# Sc2RePt

An optimized crystal structure of Sc2RePt (PBE, Alexandria via LeMat-Bulk). Values from VASP.

**Magnetic moment**: 0.859 μB/f.u.
**Energy**: -7.741 eV/atom
**Theoretical density**: 10.7 g/cm³
**ΔE_f**: 4.5 kJ/mol of atoms

Cell and atoms, written as Quantum ESPRESSO input:
```
&SYSTEM
  ibrav = 0, nat = 4, ntyp = 3
/
ATOMIC_SPECIES
Re 186.21 Re.upf
Pt 195.08 Pt.upf
Sc 44.96 Sc.upf
CELL_PARAMETERS angstrom
9.7343 -0.0127 -0.0075
9.2864 2.9189 -0.0075
9.2864 1.4189 2.5508
ATOMIC_POSITIONS crystal
Re 0.7536 0.7536 0.7536
Pt 0.4966 0.4966 0.4966
Sc 0.0074 0.0074 0.0074
Sc 0.2423 0.2423 0.2423
```